1.
Density functional theory data (PBE) for Tb4I5N after structural relaxation.

Lattice parameters (Å, degrees): 19.2994 3.9413 8.5794 90.00 102.34 90.00
Closest atoms and distances in Å follow each position.
Space group C2/m (No. 12)
One atom of each set of equivalent atoms:
Tb 0.0006 0.0000 0.3116  2 N 2.55
Tb 0.1237 0.5000 0.5600  1 N 2.33
I 0.0000 0.5000 0.0000  4 Tb 3.32
I 0.1609 0.0000 0.8376  3 Tb 3.06-3.11
I 0.1642 0.0000 0.3193  3 Tb 3.07-3.14
N 0.0000 0.5000 0.5000  6 Tb 2.33-2.55

Output
formation energy from raw total energies	-1.269	eV/atom
M_tot	0.0	Bohr magnetons per cell
Fermi-level density of states	6.8	states/eV per cell

***

2.
Density functional theory data (PBE) for PmEuCuGe after structural relaxation.

Lattice parameters (Å, degrees): 7.2868 7.2868 7.2868 90.00 90.00 90.00
Closest atoms and distances in Å follow each position.
Space group F-43m (No. 216)
One atom of each set of equivalent atoms:
Pm 0.0000 0.0000 0.0000  4 Cu 3.16, 4 Ge 3.16
Eu 0.0000 0.0000 0.5000  4 Ge 3.16, 4 Cu 3.16
Cu 0.2500 0.2500 0.2500  4 Pm 3.16, 4 Eu 3.16
Ge 0.2500 0.2500 0.7500  4 Pm 3.16, 4 Eu 3.16

Output
M_tot	28.9	Bohr magnetons per cell
calculated formation energy	-437	meV per atom
Fermi-level density of states	32.8	states/eV per cell

***

3.
Density functional theory data (PBE) for Tb8ZnPd2 after structural relaxation.

Lattice parameters (Å, degrees): 8.4939 13.4730 5.6487 90.00 107.03 90.00
Closest atoms and distances in Å follow each position.
Space group Cm (No. 8)
One atom of each set of equivalent atoms:
Tb 0.0000 0.0000 0.0000  1 Zn 3.12, 2 Pd 3.19, 1 Tb 3.35
Tb 0.0853 0.3757 0.7750  2 Pd 2.84-2.93
Tb 0.1654 0.1248 0.5852  2 Pd 2.85-2.95
Tb 0.2587 0.5000 0.3752  1 Zn 3.15, 2 Pd 3.20, 4 Tb 3.35-3.52
Tb 0.3721 0.2292 0.1870  2 Pd 2.99-3.00, 1 Zn 3.13
Zn 0.3749 0.0000 0.2833  8 Tb 3.12-3.29
Pd 0.3774 0.3024 0.6901  6 Tb 2.84-3.00

Output
M_tot	0.0	Bohr magnetons per cell
calculated formation energy	-243	meV per atom
excess energy over the best structure of this formula in the dataset	123	meV/atom
Fermi-level density of states	31.0	states/eV per cell